DFT (PBE-GGA) results for an optimized crystal structure of SiTc3Cl.

Energy above the lowest structure with this stoichiometry: 0.0 meV per atom
V: 16.256 A^3/atom
E_form (uncorrected): 602 kJ/mol of formula units

The structure in POSCAR format:
```
SiTc3Cl
1.0
4.3317 0.0000 0.0000
0.0000 4.3317 0.0000
0.0000 0.0000 4.3317
Tc Cl Si
3 1 1
Direct
0.0000 0.5000 0.0000
0.0000 0.0000 0.5000
0.5000 0.0000 0.0000
0.0000 0.0000 0.0000
0.5000 0.5000 0.5000
```



DFT (PBE-GGA) results for an optimized crystal structure of SrHgCl2.

Energy above the lowest structure with this stoichiometry: 0.0 meV per atom
V: 41.252 A^3/atom
E_form (uncorrected): -694 kJ/mol of formula units

The structure in POSCAR format:
```
SrHgCl2
1.0
-0.7861 4.2850 0.8584
-1.9410 2.5675 -3.0588
-9.5610 -0.1263 2.8742
Sr Cl Hg
1 2 1
Direct
0.2500 0.2500 0.2500
0.9633 0.9633 0.1045
0.5367 0.5367 0.3955
0.7500 0.7500 0.7500
```



DFT (PBE-GGA) results for an optimized crystal structure of LaSm2I.

Energy above the lowest structure with this stoichiometry: 86.1 meV per atom
V: 33.885 A^3/atom
E_form (uncorrected): -123 kJ/mol of formula units

The structure in POSCAR format:
```
LaSm2I
1.0
3.7268 0.0000 0.0000
0.0000 3.7268 0.0000
0.0000 0.0000 9.7588
Sm I La
2 1 1
Direct
0.0000 0.0000 0.2388
0.0000 0.0000 0.7612
0.5000 0.5000 0.0000
0.5000 0.5000 0.5000
```



no.,ρ (kg/m3)
1,7304
2,3614
3,6941